PBE-GGA TbThAgRu, optimized geometry; space-group type = F-43m (216); total magnetic moment = 0.000 μB per atom; formation energy = -0.249 eV per atom
1.0
0.0000 3.5925 3.5925
3.5925 0.0000 3.5925
3.5925 3.5925 0.0000
Tb Th Ag Ru
1 1 1 1
Direct
0.0000 0.0000 0.0000 Tb
0.5000 0.5000 0.5000 Th
0.7500 0.7500 0.7500 Ag
0.2500 0.2500 0.2500 Ru



PBE-GGA TbTmAgRu, optimized geometry; space-group type = F-43m (216); total magnetic moment = 0.000 μB per atom; formation energy = -0.366 eV per atom
1.0
0.0000 3.4921 3.4921
3.4921 0.0000 3.4921
3.4921 3.4921 0.0000
Tb Tm Ag Ru
1 1 1 1
Direct
0.0000 0.0000 0.0000 Tb
0.5000 0.5000 0.5000 Tm
0.7500 0.7500 0.7500 Ag
0.2500 0.2500 0.2500 Ru



PBE-GGA TbTmAgRu, optimized geometry; space-group type = P4mm (99); total magnetic moment = 0.000 μB per atom; formation energy = -0.430 eV per atom
1.0
3.4041 0.0000 0.0000
0.0000 3.4041 0.0000
0.0000 0.0000 7.4851
Tb Tm Ag Ru
1 1 1 1
Direct
0.0000 0.0000 0.0000 Tb
0.0000 0.0000 0.5561 Tm
0.5000 0.5000 0.2871 Ag
0.5000 0.5000 0.7726 Ru



PBE-GGA TbZnAgRu, optimized geometry; space-group type = F-43m (216); total magnetic moment = 0.000 μB per atom; formation energy = -0.086 eV per atom
1.0
0.0000 3.3209 3.3209
3.3209 0.0000 3.3209
3.3209 3.3209 0.0000
Tb Zn Ag Ru
1 1 1 1
Direct
0.0000 0.0000 0.0000 Tb
0.5000 0.5000 0.5000 Zn
0.2500 0.2500 0.2500 Ag
0.7500 0.7500 0.7500 Ru



PBE-GGA Tb2Zn5AgRu2, optimized geometry; space-group type = P4/mbm (127); total magnetic moment = 0.000 μB per atom; formation energy = -0.181 eV per atom
1.0
9.4925 0.0000 0.0000
0.0000 9.4925 0.0000
0.0000 0.0000 4.0242
Tb Zn Ag Ru
4 10 2 4
Direct
0.1773 0.3227 0.0000 Tb
0.3227 0.8227 0.0000 Tb
0.6773 0.1773 0.0000 Tb
0.8227 0.6773 0.0000 Tb
0.0000 0.5000 0.5000 Zn
0.0588 0.7940 0.5000 Zn
0.2060 0.0588 0.5000 Zn
0.2940 0.5588 0.5000 Zn
0.4412 0.2940 0.5000 Zn
0.5000 0.0000 0.5000 Zn
0.5588 0.7060 0.5000 Zn
0.7060 0.4412 0.5000 Zn
0.7940 0.9412 0.5000 Zn
0.9412 0.2060 0.5000 Zn
0.0000 0.0000 0.0000 Ag
0.5000 0.5000 0.0000 Ag
0.1224 0.6224 0.0000 Ru
0.3776 0.1224 0.0000 Ru
0.6224 0.8776 0.0000 Ru
0.8776 0.3776 0.0000 Ru



PBE-GGA TcAgRu3, optimized geometry; space-group type = Pm-3m (221); total magnetic moment = 0.395 μB per atom; formation energy = 1.594 eV per atom
1.0
4.6421 0.0000 0.0000
0.0000 4.6421 0.0000
0.0000 0.0000 4.6421
Tc Ag Ru
1 1 3
Direct
0.0000 0.0000 0.0000 Tc
0.5000 0.5000 0.5000 Ag
0.0000 0.0000 0.5000 Ru
0.0000 0.5000 0.0000 Ru
0.5000 0.0000 0.0000 Ru